1.
Crystalline Hg3IrSe at its relaxed geometry, computed with GGA-PBE.

* total energy: -1.395 eV per atom
* energy above the most stable polymorph in this dataset: 634 meV per atom

Cell: 5.3330 5.3330 5.3330 Å, 90.00 90.00 90.00°
Closest atoms and distances in Å follow each position.
Sites, in units of the cell vectors:
Ir1 0.5000 0.5000 0.5000  12 Hg 3.77
Hg1 0.0000 0.5000 0.0000  2 Se 2.67
Hg2 0.0000 0.0000 0.5000  2 Se 2.67
Hg3 0.5000 0.0000 0.0000  2 Se 2.67
Se1 0.0000 0.0000 0.0000  6 Hg 2.67



2.
Crystalline HgIr2Se at its relaxed geometry, computed with GGA-PBE.

* total energy: -5.008 eV per atom
* energy above the most stable polymorph in this dataset: 41 meV per atom

Cell: 10.2844 10.2844 10.2844 Å, 16.48 16.48 16.48°
Closest atoms and distances in Å follow each position.
Sites, in units of the cell vectors:
Hg1 0.7350 0.7350 0.7350  6 Hg 2.95, 3 Ir 2.96
Ir1 0.9886 0.9886 0.9886  9 Ir 2.72-2.95, 3 Hg 2.96
Ir2 0.2522 0.2522 0.2522  3 Se 2.53, 3 Ir 2.72
Se1 0.5242 0.5242 0.5242  3 Ir 2.53



3.
Crystalline HgIr2Se at its relaxed geometry, computed with GGA-PBE.

* total energy: -4.617 eV per atom
* energy above the most stable polymorph in this dataset: 432 meV per atom

Cell: 4.5817 4.5817 4.5817 Å, 60.00 60.00 60.00°
Closest atoms and distances in Å follow each position.
Sites, in units of the cell vectors:
Ir1 0.2500 0.2500 0.2500  4 Hg 2.81, 4 Se 2.81
Ir2 0.7500 0.7500 0.7500  4 Hg 2.81, 4 Se 2.81
Hg1 0.5000 0.5000 0.5000  8 Ir 2.81
Se1 0.0000 0.0000 0.0000  8 Ir 2.81



4.
Crystalline HgIrSe3 at its relaxed geometry, computed with GGA-PBE.

* total energy: -3.456 eV per atom
* energy above the most stable polymorph in this dataset: 0 meV per atom

Cell: 4.9667 4.9667 4.9667 Å, 90.00 90.00 90.00°
Closest atoms and distances in Å follow each position.
Sites, in units of the cell vectors:
Ir1 0.0000 0.0000 0.0000  6 Se 2.48
Hg1 0.5000 0.5000 0.5000  12 Se 3.51
Se1 0.0000 0.5000 0.0000  2 Ir 2.48
Se2 0.0000 0.0000 0.5000  2 Ir 2.48
Se3 0.5000 0.0000 0.0000  2 Ir 2.48